No. 1
Pm2NdPb: optimized geometry, GGA-PBE.

Summary:
SG ... R-3m
Total magnetic moment ... 0.00 μB/cell
Energy relative to the lowest polymorph listed for this composition ... 374 meV/atom

POSCAR file:
```
Pm2NdPb
1.0
-2.806 0.567 2.088
-0.977 -2.455 2.361
6.057 4.561 9.907
Pm Pb Nd
2 1 1
direct
0.907 0.907 0.280
0.093 0.093 0.720
0.500 0.500 0.500
0.000 0.000 0.000
```

***

No. 2
PmNd4Pb2: optimized geometry, GGA-PBE.

Summary:
SG ... I4/mmm
Total magnetic moment ... 0.14 μB/cell

POSCAR file:
```
PmNd4Pb2
1.0
-1.597 2.966 -4.446
-4.794 1.256 2.560
6.731 4.707 4.220
Nd Pb Pm
4 2 1
direct
0.000 0.500 0.000
0.500 0.000 0.000
0.182 0.182 0.364
0.818 0.818 0.636
0.631 0.631 0.261
0.369 0.369 0.739
0.000 0.000 0.000
```

***

No. 3
Pm6Nd12Pb: optimized geometry, GGA-PBE.

Summary:
SG ... R-3
Total magnetic moment ... 0.00 μB/cell
Energy relative to the lowest polymorph listed for this composition ... 0 meV/atom

POSCAR file:
```
Pm6Nd12Pb
1.0
-6.254 -5.916 1.439
-0.295 -2.088 -8.469
5.915 -6.321 1.116
Nd Pm Pb
12 6 1
direct
0.639 0.986 0.814
0.539 0.430 0.781
0.461 0.570 0.219
0.814 0.639 0.986
0.986 0.814 0.639
0.219 0.461 0.570
0.781 0.539 0.430
0.430 0.781 0.539
0.361 0.014 0.186
0.186 0.361 0.014
0.570 0.219 0.461
0.014 0.186 0.361
0.744 0.904 0.298
0.298 0.744 0.904
0.904 0.298 0.744
0.702 0.256 0.096
0.096 0.702 0.256
0.256 0.096 0.702
0.000 0.000 0.000
```

***

No. 4
Pm5NdPb8: optimized geometry, GGA-PBE.

Summary:
SG ... I-4
Total magnetic moment ... 0.00 μB/cell

POSCAR file:
```
Pm5NdPb8
1.0
8.297 -0.046 0.079
-2.851 7.792 -0.079
-2.595 -3.963 6.813
Pb Pm Nd
8 5 1
direct
0.290 0.252 0.373
0.961 0.083 0.710
0.785 0.248 0.369
0.121 0.748 0.039
0.627 0.917 0.879
0.462 0.584 0.215
0.631 0.416 0.879
0.121 0.752 0.538
0.003 0.376 0.125
0.500 0.000 0.500
0.373 0.123 0.997
0.750 0.624 0.627
0.875 0.877 0.250
0.250 0.500 0.750
```

***

No. 5
Pm2NdPb: optimized geometry, GGA-PBE.

Summary:
SG ... P4/mmm
Total magnetic moment ... 0.00 μB/cell
Energy relative to the lowest polymorph listed for this composition ... 95 meV/atom

POSCAR file:
```
Pm2NdPb
1.0
4.302 0.000 0.000
0.000 4.302 0.000
0.000 0.000 6.905
Pm Nd Pb
2 1 1
direct
0.000 0.000 0.230
0.000 0.000 0.770
0.500 0.500 0.500
0.500 0.500 0.000
```

***

No. 6
Pm8NdPb2: optimized geometry, GGA-PBE.

Summary:
SG ... C2/m
Total magnetic moment ... 0.00 μB/cell

POSCAR file:
```
Pm8NdPb2
1.0
-1.495 -1.625 -5.132
0.597 -8.782 0.942
-8.390 -2.374 1.532
Pm Pb Nd
8 2 1
direct
0.788 0.631 0.164
0.212 0.369 0.836
0.123 0.766 0.766
0.292 0.414 0.414
0.212 0.836 0.369
0.788 0.164 0.631
0.877 0.234 0.234
0.708 0.586 0.586
0.441 0.130 0.130
0.559 0.870 0.870
0.000 0.000 0.000
```

***

No. 7
Pm12NdPb7: optimized geometry, GGA-PBE.

Summary:
SG ... R-3m
Total magnetic moment ... 0.00 μB/cell

POSCAR file:
```
Pm12NdPb7
1.0
9.629 -0.433 -0.650
-3.093 9.129 -0.650
-3.093 -4.116 8.174
Pb Pm Nd
7 12 1
direct
0.135 0.444 0.135
0.556 0.865 0.865
0.135 0.135 0.444
0.865 0.556 0.865
0.500 0.500 0.500
0.865 0.865 0.556
0.444 0.135 0.135
0.000 0.276 0.724
0.276 0.000 0.724
0.724 0.000 0.276
0.505 0.840 0.505
0.724 0.276 0.000
0.495 0.160 0.495
0.505 0.505 0.840
0.276 0.724 0.000
0.160 0.495 0.495
0.000 0.724 0.276
0.840 0.505 0.505
0.495 0.495 0.160
0.000 0.000 0.000
```

***

No. 8
Pm4NdPb3: optimized geometry, GGA-PBE.

Summary:
SG ... C2/m
Total magnetic moment ... 0.00 μB/cell

POSCAR file:
```
Pm4NdPb3
1.0
-1.619 -2.927 3.387
0.589 -8.419 -6.993
4.591 11.230 8.554
Pb Pm Nd
3 4 1
direct
0.500 0.500 0.000
0.565 0.972 0.129
0.435 0.028 0.871
0.218 0.208 0.437
0.782 0.792 0.563
0.142 0.666 0.284
0.858 0.334 0.716
0.000 0.000 0.000
```

***

No. 9
Pm3Nd2Pb: optimized geometry, GGA-PBE.

Summary:
SG ... Cmmm
Total magnetic moment ... 0.00 μB/cell

POSCAR file:
```
Pm3Nd2Pb
1.0
-0.007 2.256 -4.465
0.003 -4.439 -2.242
-7.844 2.210 1.129
Nd Pm Pb
2 3 1
direct
0.000 0.662 0.324
0.000 0.338 0.676
0.500 0.836 0.672
0.500 0.164 0.328
0.500 0.500 0.000
0.000 0.000 0.000
```

***

No. 10
Pm2NdPb: optimized geometry, GGA-PBE.

Summary:
SG ... P4/mmm
Total magnetic moment ... 0.00 μB/cell
Energy relative to the lowest polymorph listed for this composition ... 0 meV/atom

POSCAR file:
```
Pm2NdPb
1.0
4.964 0.000 0.000
0.000 4.981 0.000
0.000 0.000 4.981
Nd Pb Pm
1 1 2
direct
0.500 0.500 0.500
0.500 0.000 0.000
0.000 0.000 0.500
0.000 0.500 0.000
```

***

No. 11
Pm2Nd3Pb: optimized geometry, GGA-PBE.

Summary:
SG ... Cmmm
Total magnetic moment ... 0.00 μB/cell

POSCAR file:
```
Pm2Nd3Pb
1.0
-0.407 4.961 -0.654
-2.344 -0.764 -4.330
-5.713 0.309 5.905
Nd Pb Pm
3 1 2
direct
0.500 0.165 0.330
0.500 0.500 0.000
0.500 0.835 0.670
0.000 0.000 0.000
0.000 0.662 0.325
0.000 0.338 0.675
```

***

No. 12
Pm12Nd6Pb: optimized geometry, GGA-PBE.

Summary:
SG ... R-3
Total magnetic moment ... 0.00 μB/cell

POSCAR file:
```
Pm12Nd6Pb
1.0
8.698 0.365 -1.499
-1.838 8.509 -1.499
0.282 0.365 8.822
Pm Nd Pb
12 6 1
direct
0.828 0.419 0.419
0.581 0.172 0.581
0.001 0.259 0.741
0.419 0.419 0.828
0.259 0.741 0.001
0.419 0.828 0.419
0.259 0.999 0.741
0.581 0.581 0.172
0.999 0.741 0.259
0.172 0.581 0.581
0.741 0.259 0.999
0.741 0.001 0.259
0.134 0.408 0.135
0.592 0.865 0.866
0.866 0.592 0.865
0.865 0.866 0.592
0.135 0.134 0.408
0.408 0.135 0.134
0.000 0.000 0.000
```

***

No. 13
Pm7NdPb5: optimized geometry, GGA-PBE.

Summary:
SG ... Imm2
Total magnetic moment ... 0.00 μB/cell

POSCAR file:
```
Pm7NdPb5
1.0
-3.794 3.380 4.325
-7.303 2.883 -3.513
-5.325 -5.084 4.449
Pb Pm Nd
5 7 1
direct
0.519 0.001 0.471
0.758 0.742 0.742
0.519 0.471 0.001
0.009 0.471 0.001
0.009 0.001 0.471
0.294 0.706 0.706
0.520 0.808 0.153
0.269 0.231 0.231
0.006 0.656 0.332
0.006 0.332 0.656
0.520 0.153 0.808
0.622 0.378 0.378
0.949 0.051 0.051
```

***

No. 14
PmNd2Pb: optimized geometry, GGA-PBE.

Summary:
SG ... R-3m
Total magnetic moment ... 0.24 μB/cell
Energy relative to the lowest polymorph listed for this composition ... 379 meV/atom

POSCAR file:
```
PmNd2Pb
1.0
3.551 0.000 0.000
1.776 3.076 0.000
1.776 1.025 12.310
Pm Pb Nd
1 1 2
direct
0.000 0.000 0.000
0.500 0.500 0.500
0.908 0.908 0.277
0.092 0.092 0.723
```

***

No. 15
Pm3NdPb4: optimized geometry, GGA-PBE.

Summary:
SG ... C2/m
Total magnetic moment ... 0.01 μB/cell
Energy relative to the lowest polymorph listed for this composition ... 0 meV/atom

POSCAR file:
```
Pm3NdPb4
1.0
4.940 0.000 -1.334
-0.360 4.927 -1.333
-0.004 0.019 9.803
Pm Pb Nd
3 4 1
direct
0.750 0.250 0.500
0.000 0.500 0.000
0.250 0.750 0.500
0.375 0.375 0.749
0.875 0.875 0.749
0.625 0.625 0.251
0.125 0.125 0.251
0.500 0.000 0.000
```

***

No. 16
PmNd4Pb5: optimized geometry, GGA-PBE.

Summary:
SG ... I4
Total magnetic moment ... 0.00 μB/cell
Energy relative to the lowest polymorph listed for this composition ... 96 meV/atom

POSCAR file:
```
PmNd4Pb5
1.0
-2.021 1.612 5.925
-3.997 -5.745 3.726
5.184 -1.692 5.755
Nd Pb Pm
4 5 1
direct
0.801 0.799 0.600
0.200 0.201 0.400
0.600 0.600 0.201
0.401 0.400 0.799
0.702 0.199 0.399
0.100 0.601 0.199
0.503 0.000 0.000
0.299 0.801 0.601
0.901 0.399 0.801
0.003 0.000 0.000
```

***

No. 17
PmNd4Pb4: optimized geometry, GGA-PBE.

Summary:
SG ... P4_2/n
Total magnetic moment ... 0.00 μB/cell

POSCAR file:
```
PmNd4Pb4
1.0
-2.214 -5.845 1.824
-2.533 -1.935 -9.277
8.870 -3.865 -1.616
Pb Nd Pm
8 8 2
direct
0.122 0.897 0.717
0.878 0.283 0.897
0.878 0.717 0.103
0.378 0.603 0.783
0.622 0.217 0.603
0.122 0.103 0.283
0.622 0.783 0.397
0.378 0.397 0.217
0.615 0.085 0.285
0.615 0.915 0.715
0.385 0.285 0.915
0.115 0.215 0.585
0.885 0.585 0.785
0.115 0.785 0.415
0.885 0.415 0.215
0.385 0.715 0.085
0.000 0.000 0.000
0.500 0.500 0.500
```

***

No. 18
PmNd2Pb9: optimized geometry, GGA-PBE.

Summary:
SG ... P4/mmm
Total magnetic moment ... 0.00 μB/cell

POSCAR file:
```
PmNd2Pb9
1.0
-0.933 -0.192 -4.834
-1.315 -4.727 0.442
-13.967 4.121 2.532
Pb Pm Nd
9 1 2
direct
0.000 0.500 0.834
0.500 0.500 0.667
0.500 0.500 0.333
0.500 0.000 0.500
0.500 0.000 0.166
0.000 0.500 0.166
0.500 0.500 0.000
0.000 0.500 0.500
0.500 0.000 0.834
0.000 0.000 0.000
0.000 0.000 0.333
0.000 0.000 0.667
```

***

No. 19
PmNdPb2: optimized geometry, GGA-PBE.

Summary:
SG ... P4/mmm
Total magnetic moment ... 0.04 μB/cell

POSCAR file:
```
PmNdPb2
1.0
-2.968 -1.097 -3.330
-2.813 -2.606 3.366
-2.692 4.214 1.012
Nd Pb Pm
1 2 1
direct
0.500 0.000 0.000
0.000 0.000 0.500
0.000 0.500 0.000
0.500 0.500 0.500
```

***

No. 20
Pm14NdPb: optimized geometry, GGA-PBE.

Summary:
SG ... P4/mmm
Total magnetic moment ... 0.00 μB/cell

POSCAR file:
```
Pm14NdPb
1.0
7.180 0.964 0.000
-0.963 7.181 0.000
0.000 0.000 10.237
Pm Nd Pb
14 1 1
direct
0.623 0.377 0.246
0.875 0.625 0.000
0.375 0.625 0.500
0.875 0.125 0.500
0.623 0.377 0.754
0.375 0.125 0.000
0.128 0.378 0.754
0.128 0.872 0.247
0.128 0.378 0.246
0.875 0.625 0.500
0.622 0.872 0.754
0.375 0.125 0.500
0.128 0.872 0.753
0.622 0.872 0.246
0.875 0.125 0.000
0.375 0.625 0.000
```

***

No. 21
PmNd2Pb: optimized geometry, GGA-PBE.

Summary:
SG ... P4/mmm
Total magnetic moment ... 0.00 μB/cell
Energy relative to the lowest polymorph listed for this composition ... 0 meV/atom

POSCAR file:
```
PmNd2Pb
1.0
-3.556 -3.491 0.443
3.474 -3.562 -0.183
0.443 0.178 4.956
Pm Pb Nd
1 1 2
direct
0.500 0.500 0.500
0.500 0.000 0.000
0.000 0.000 0.500
0.000 0.500 0.000
```

***

No. 22
Pm3NdPb2: optimized geometry, GGA-PBE.

Summary:
SG ... P-4m2
Total magnetic moment ... 0.00 μB/cell
Energy relative to the lowest polymorph listed for this composition ... 0 meV/atom

POSCAR file:
```
Pm3NdPb2
1.0
-4.173 -0.475 2.025
-2.006 -0.280 -4.200
1.050 -8.853 0.088
Pb Pm Nd
2 3 1
direct
0.500 0.000 0.715
0.000 0.500 0.285
0.000 0.000 0.000
0.000 0.500 0.653
0.500 0.000 0.347
0.500 0.500 0.000
```

***

no.,ΔE_f (meV/atom)
1,39
2,314
3,44
4,-387
5,-240
6,211
7,-309
8,-390
9,-189
10,-335
11,-193
12,64
13,-321
14,42
15,-506
16,-418
17,-305
18,-369
19,-509
20,-42
21,-337
22,-441